# PBE Th2Fe15Co2, relaxed
# - ρ (g/cm³) = 9.06
# - energy of formation (eV/atom) = -0.019
# - N(E_F) (states/eV/cell) = 73.94
# - size of the total moment (μB per formula unit) = 36.355
data_Th2Fe15Co2
_chemical_formula_sum 'Th6 Fe45 Co6'
_symmetry_space_group_name_H-M 'R -3 m'
_symmetry_Int_Tables_number 166
_symmetry_space_group_name_Hall '-R 3 2"'
_cell_length_a 8.4387
_cell_length_b 8.4387
_cell_length_c 12.6632
_cell_angle_alpha 90.00
_cell_angle_beta 90.00
_cell_angle_gamma 120.00
loop_
_atom_site_label
_atom_site_type_symbol
_atom_site_fract_x
_atom_site_fract_y
_atom_site_fract_z
Th1 Th 0.0000 0.0000 0.1588
Fe1 Fe 0.0000 0.2918 0.5000
Fe2 Fe 0.0000 0.5000 0.0000
Fe3 Fe 0.0015 0.5007 0.3416
Co1 Co 0.0000 0.0000 0.4076